Density functional theory data (PBE+U) for an optimized crystal structure of CoH2O2.

Summary:
Distance to the lowest polymorph of the same formula ... 20.9 meV/atom
Total DFT energy (no corrections) ... -53.6 eV/cell

POSCAR file:
```
CoH2O2
1.0
3.028 -4.793 0.000
3.028 4.793 0.000
-1.511 0.000 2.661
Co H O
2 4 4
Cartesian
3.028 3.377 0.000
3.028 -3.377 0.000
0.947 0.000 1.797
2.344 1.399 1.357
2.344 -1.399 1.357
3.853 0.000 0.591
1.382 0.000 0.919
2.851 2.203 1.656
2.851 -2.203 1.656
4.724 0.000 1.029
```